# 1
A relaxed structure of FeOsRu2, computed with PBE.

**Magnetization**: 2.3 μB per formula unit
**Theoretical density**: 13.57 g cm⁻³
**Volume**: 13.711 Å³ per atom
**VASP energy**: -9.39 eV/atom

a b c (Å): 2.7022 2.7022 26.0186
angles (deg): 90.00 90.00 120.00
Space group R-3m (No. 166, hexagonal axes)
Asymmetric unit:
Fe (0.0000, 0.0000, 0.0000)
Os (0.0000, 0.0000, 0.5000)
Ru (0.0000, 0.0000, 0.2510)

---

# 2
A relaxed structure of Be2VRu2, computed with PBE.

**Magnetization**: 0.0 μB per formula unit
**Theoretical density**: 8.04 g cm⁻³
**Volume**: 11.196 Å³ per atom
**VASP energy**: -7.40 eV/atom

a b c (Å): 6.2024 6.2024 2.9102
angles (deg): 90.00 90.00 90.00
Space group P4/mbm (No. 127)
Asymmetric unit:
Be (0.1206, 0.3794, 0.0000)
V (0.0000, 0.0000, 0.0000)
Ru (0.1748, 0.6748, 0.5000)

---

# 3
A relaxed structure of InSiB3, computed with PBE.

**Magnetization**: 0.0 μB per formula unit
**Formation energy from raw total energies**: 1.424 eV/atom
**Theoretical density**: 4.25 g cm⁻³
**Volume**: 13.690 Å³ per atom
**VASP energy**: -4.22 eV/atom

a b c (Å): 4.0907 4.0907 4.0907
angles (deg): 90.00 90.00 90.00
Space group Pm-3m (No. 221)
Asymmetric unit:
In (0.0000, 0.0000, 0.0000)
Si (0.5000, 0.5000, 0.5000)
B (0.0000, 0.5000, 0.5000)